# BeTc2Br

An optimized crystal structure of BeTc2Br (PBE-GGA, Alexandria via LeMat-Bulk).

Output
- space-group type = P4mm, No. 99
- excess energy over the best structure of this formula in the dataset (meV per atom) = 0.0
- DOS(E_F) (states/eV per cell) = 2.569
- size of the total moment (Bohr magnetons per cell) = 0.0
- E_form (uncorrected) (eV/atom) = 0.29

extended XYZ file:
```
4
Lattice="2.997 0.000 0.000 0.000 2.997 0.000 0.000 0.000 8.001" Properties=species:S:1:pos:R:3 pbc="T T T"
Tc 0.000 0.000 0.392
Br 1.499 1.499 6.580
Be 0.000 0.000 3.045
Tc 1.499 1.499 1.983
```

=====

# BeTcBr

An optimized crystal structure of BeTcBr (PBE-GGA, Alexandria via LeMat-Bulk).

Output
- space-group type = I4mm, No. 107
- excess energy over the best structure of this formula in the dataset (meV per atom) = 154.8
- DOS(E_F) (states/eV per cell) = 3.038
- size of the total moment (Bohr magnetons per cell) = 0.0
- E_form (uncorrected) (eV/atom) = 0.63

extended XYZ file:
```
3
Lattice="4.990 0.005 0.000 2.987 3.997 0.001 -3.988 -2.001 2.233" Properties=species:S:1:pos:R:3 pbc="T T T"
Tc 5.021 2.519 0.001
Be -3.710 -1.862 2.233
Br -1.311 -0.658 2.233
```